1.
A plane-wave DFT calculation with PBE-GGA was carried out for crystalline BeSbH2 at its relaxed geometry.

The calculation puts the spin magnetization at 0.000 μB per cell. As for the crystal system: cubic. The value obtained for the energy above the most stable polymorph in this dataset is 929 meV per atom. The total energy is -2.7210 eV/atom.

The space group is Fm-3m (No. 225) and the conventional cell measures 5.508, 5.508 and 5.508 Å, with angles of 90.00, 90.00 and 90.00 degrees. The asymmetric unit holds Be at (0.000, 0.000, 0.000), Sb at (0.000, 0.000, 0.500) and H at (0.250, 0.250, 0.250).

---

2.
A plane-wave DFT calculation with PBE-GGA was carried out for crystalline Be2SbH2 at its relaxed geometry.

The calculation puts the spin magnetization at 0.000 μB per cell. As for the crystal system: tetragonal. The value obtained for the energy above the most stable polymorph in this dataset is 150 meV per atom. The total energy is -3.0591 eV/atom.

The space group is P4/mbm (No. 127) and the conventional cell measures 5.585, 5.585 and 3.644 Å, with angles of 90.00, 90.00 and 90.00 degrees. The asymmetric unit holds Be at (0.247, 0.253, 0.000), Sb at (0.000, 0.000, 0.500) and H at (0.049, 0.549, 0.500).

---

3.
A plane-wave DFT calculation with PBE-GGA was carried out for crystalline BeSbH2 at its relaxed geometry.

The calculation puts the spin magnetization at 0.000 μB per cell. As for the crystal system: triclinic. The value obtained for the energy above the most stable polymorph in this dataset is 97 meV per atom. The total energy is -3.5537 eV/atom.

The space group is P1 (No. 1) and the conventional cell measures 4.175, 5.193 and 6.915 Å, with angles of 68.35, 85.73 and 88.78 degrees. The asymmetric unit holds Be at (0.000, 0.000, 0.000), Be at (0.423, 0.106, 0.836), Sb at (0.393, 0.433, 0.470), Sb at (0.894, 0.830, 0.380), H at (0.219, 0.242, 0.949), H at (0.231, 0.854, 0.902), H at (0.422, 0.326, 0.260) and H at (0.756, 0.099, 0.855).

---

4.
A plane-wave DFT calculation with PBE-GGA was carried out for crystalline Be3SbH at its relaxed geometry.

The calculation puts the spin magnetization at 0.000 μB per cell. As for the crystal system: cubic. The value obtained for the energy above the most stable polymorph in this dataset is 0 meV per atom. The total energy is -3.0885 eV/atom.

The space group is Pm-3m (No. 221) and the conventional cell measures 3.797, 3.797 and 3.797 Å, with angles of 90.00, 90.00 and 90.00 degrees. The asymmetric unit holds Be at (0.000, 0.000, 0.500), Sb at (0.500, 0.500, 0.500) and H at (0.000, 0.000, 0.000).

---

5.
A plane-wave DFT calculation with PBE-GGA was carried out for crystalline Be2SbH at its relaxed geometry.

The calculation puts the spin magnetization at 0.000 μB per cell. As for the crystal system: cubic. The value obtained for the energy above the most stable polymorph in this dataset is 499 meV per atom. The total energy is -2.9182 eV/atom.

The space group is Fm-3m (No. 225) and the conventional cell measures 5.893, 5.893 and 5.893 Å, with angles of 90.00, 90.00 and 90.00 degrees. The asymmetric unit holds Be at (0.250, 0.250, 0.250), Sb at (0.000, 0.000, 0.000) and H at (0.000, 0.000, 0.500).

---

6.
A plane-wave DFT calculation with PBE-GGA was carried out for crystalline BeSbH2 at its relaxed geometry.

The calculation puts the spin magnetization at 0.000 μB per cell. As for the crystal system: triclinic. The value obtained for the energy above the most stable polymorph in this dataset is 0 meV per atom. The total energy is -3.6505 eV/atom.

The space group is P1 (No. 1) and the conventional cell measures 4.061, 4.062 and 9.998 Å, with angles of 89.04, 88.82 and 61.63 degrees. The asymmetric unit holds Be at (0.000, 0.000, 0.000), Be at (0.285, 0.285, 0.999), Sb at (0.481, 0.460, 0.582), Sb at (0.824, 0.800, 0.417), H at (0.184, 0.095, 0.107), H at (0.192, 0.099, 0.892), H at (0.624, 0.298, 0.001) and H at (0.987, 0.661, 0.000).

---

7.
A plane-wave DFT calculation with PBE-GGA was carried out for crystalline BeSbH2 at its relaxed geometry.

The calculation puts the spin magnetization at 0.000 μB per cell. As for the crystal system: triclinic. The value obtained for the energy above the most stable polymorph in this dataset is 76 meV per atom. The total energy is -3.5746 eV/atom.

The space group is P1 (No. 1) and the conventional cell measures 4.205, 4.306 and 7.471 Å, with angles of 85.87, 87.93 and 61.81 degrees. The asymmetric unit holds Be at (0.000, 0.000, 0.000), Be at (0.381, 0.071, 0.860), Sb at (0.284, 0.195, 0.531), Sb at (0.617, 0.561, 0.329), H at (0.073, 0.307, 0.964), H at (0.338, 0.760, 0.905), H at (0.721, 0.057, 0.876) and H at (0.965, 0.911, 0.183).

---

8.
A plane-wave DFT calculation with PBE-GGA was carried out for crystalline BeSbH2 at its relaxed geometry.

The calculation puts the spin magnetization at 0.000 μB per cell. As for the crystal system: monoclinic. The value obtained for the energy above the most stable polymorph in this dataset is 11 meV per atom. The total energy is -3.6391 eV/atom.

The space group is Cm (No. 8) and the conventional cell measures 7.334, 3.980 and 10.044 Å, with angles of 90.00, 105.32 and 90.00 degrees. The asymmetric unit holds Be at (0.000, 0.250, 0.000), Sb at (0.198, 0.000, 0.586), Sb at (0.309, 0.500, 0.416), H at (0.046, 0.000, 0.112), H at (0.145, 0.500, 0.995), H at (0.355, 0.000, 0.005) and H at (0.454, 0.500, 0.888).